Record 1
This record from the Alexandria database describes an optimized crystal structure of Na2GeAs. The functional is PBE-GGA.

Computed properties:
ΔE_f: -10.6 meV/atom
DOS(E_F): 9.85 states/eV/cell
calculated density: 3708 kg/m3
final energy: -47.79 eV for the cell shown
volume: 86.7 Å³/f.u.

abc: 7.0249 7.0249 7.0249
angles: 90.00 90.00 90.00
Last column: nearest neighbours and their distance in Å.
Space group Fm-3m (No. 225)
Asymmetric unit:
1 Na 0.2500 0.2500 0.2500 (multiplicity 8)  4 As 3.04, 4 Ge 3.04
2 Ge 0.0000 0.0000 0.0000 (multiplicity 4)  8 Na 3.04
3 As 0.0000 0.0000 0.5000 (multiplicity 4)  8 Na 3.04


Record 2
This record from the Alexandria database describes an optimized crystal structure of Na3GeAs. The functional is PBE-GGA.

Computed properties:
ΔE_f: 238.3 meV/atom
DOS(E_F): 5.58 states/eV/cell
calculated density: 2147 kg/m3
final energy: -12.03 eV for the cell shown
volume: 167.5 Å³/f.u.

abc: 5.5120 5.5120 5.5120
angles: 90.00 90.00 90.00
Last column: nearest neighbours and their distance in Å.
Space group Pm-3m (No. 221)
Asymmetric unit:
1 Na 0.0000 0.0000 0.5000 (multiplicity 3)  2 As 2.76
2 Ge 0.5000 0.5000 0.5000 (multiplicity 1)  12 Na 3.90
3 As 0.0000 0.0000 0.0000 (multiplicity 1)  6 Na 2.76


Record 3
This record from the Alexandria database describes an optimized crystal structure of Na3GeAs. The functional is PBE-GGA.

Computed properties:
ΔE_f: -136.1 meV/atom
DOS(E_F): 6.73 states/eV/cell
calculated density: 2742 kg/m3
final energy: -55.62 eV for the cell shown
volume: 131.1 Å³/f.u.

abc: 10.0161 8.5327 6.1369
angles: 90.00 90.00 90.00
Last column: nearest neighbours and their distance in Å.
Space group Ima2 (No. 46)
Asymmetric unit:
1 Na 0.0165 0.2480 0.0000 (multiplicity 8)  4 Na 3.07-3.37, 2 As 3.09-3.11, 2 Ge 3.12
2 Na 0.2500 0.0310 0.7478 (multiplicity 4)  1 Ge 2.91, 3 As 3.11-3.20
3 Ge 0.2500 0.6901 0.7508 (multiplicity 4)  1 As 2.43
4 As 0.2500 0.0945 0.2491 (multiplicity 4)  1 Ge 2.43